An optimized crystal structure of BeS4. Source: Alexandria via LeMat-Bulk, functional GGA-PBE.

Values from the calculation:
* calculated total energy: -4.051 eV/atom

abc: 5.849 5.849 7.439
angles: 129.04 129.04 48.71
Fractional positions:
Be (0.000, 0.000, 0.000)
S (0.215, 0.215, 0.436)
S (0.246, 0.246, 0.191)
S (0.754, 0.754, 0.809)
S (0.785, 0.785, 0.564)



An optimized crystal structure of Be3S. Source: Alexandria via LeMat-Bulk, functional GGA-PBE.

Values from the calculation:
* calculated total energy: -3.410 eV/atom

abc: 4.456 4.456 5.780
angles: 90.00 90.00 120.00
Fractional positions:
Be (0.166, 0.332, 0.250)
Be (0.166, 0.834, 0.250)
Be (0.332, 0.166, 0.750)
Be (0.668, 0.834, 0.250)
Be (0.834, 0.166, 0.750)
Be (0.834, 0.668, 0.750)
S (0.333, 0.667, 0.750)
S (0.667, 0.333, 0.250)



An optimized crystal structure of Be4S. Source: Alexandria via LeMat-Bulk, functional GGA-PBE.

Values from the calculation:
* calculated total energy: -2.873 eV/atom

abc: 4.013 4.013 4.013
angles: 90.00 90.00 90.00
Fractional positions:
Be (0.000, 0.000, 0.000)
Be (0.000, 0.500, 0.500)
Be (0.500, 0.000, 0.500)
Be (0.500, 0.500, 0.000)
S (0.500, 0.500, 0.500)



An optimized crystal structure of Be2SbS2. Source: Alexandria via LeMat-Bulk, functional GGA-PBE.

Values from the calculation:
* calculated total energy: -4.493 eV/atom

abc: 12.056 12.056 12.056
angles: 164.12 164.12 22.53
Fractional positions:
Be (0.250, 0.750, 0.500)
Be (0.750, 0.250, 0.500)
Sb (0.000, 0.000, 0.000)
S (0.304, 0.304, 0.000)
S (0.696, 0.696, 0.000)



An optimized crystal structure of BeSb3S. Source: Alexandria via LeMat-Bulk, functional GGA-PBE.

Values from the calculation:
* calculated total energy: -3.442 eV/atom

abc: 4.887 4.887 4.887
angles: 90.00 90.00 90.00
Fractional positions:
Be (0.000, 0.000, 0.000)
Sb (0.000, 0.000, 0.500)
Sb (0.000, 0.500, 0.000)
Sb (0.500, 0.000, 0.000)
S (0.500, 0.500, 0.500)



An optimized crystal structure of Be2SbS2. Source: Alexandria via LeMat-Bulk, functional GGA-PBE.

Values from the calculation:
* calculated total energy: -3.830 eV/atom

abc: 8.037 8.037 3.418
angles: 90.00 90.00 90.00
Fractional positions:
Be (0.236, 0.264, 0.000)
Be (0.264, 0.764, 0.000)
Be (0.736, 0.236, 0.000)
Be (0.764, 0.736, 0.000)
Sb (0.000, 0.000, 0.500)
Sb (0.500, 0.500, 0.500)
S (0.154, 0.346, 0.500)
S (0.346, 0.846, 0.500)
S (0.654, 0.154, 0.500)
S (0.846, 0.654, 0.500)